one) CsK2Sb2: optimized geometry, PBE.

- total magnetic moment (Bohr magnetons per cell) = 0.0
- theoretical density (Mg/m³) = 3.04

abc: 5.2217 6.8654 7.4152
angles: 92.67 110.62 90.00
With the nearest neighbours (Å) after each atom.
Atoms (fractional coordinates):
Cs 0.0000 0.0000 0.0000  6 Sb 3.92-4.09
K 0.3425 0.3933 0.6851  4 Sb 3.47-3.64
K 0.6575 0.6067 0.3149  4 Sb 3.47-3.64
Sb 0.7242 0.1009 0.4484  2 Sb 3.06
Sb 0.2758 0.8991 0.5516  2 Sb 3.06



two) CsK2Sb2: optimized geometry, PBE.

- total magnetic moment (Bohr magnetons per cell) = 0.0
- theoretical density (Mg/m³) = 3.33

abc: 9.6112 9.6112 4.9049
angles: 90.00 90.00 90.00
With the nearest neighbours (Å) after each atom.
Atoms (fractional coordinates):
Cs 0.0000 0.0000 0.0000  4 Sb 3.93, 8 K 4.33
Cs 0.5000 0.5000 0.0000  4 Sb 3.93, 8 K 4.33
Sb 0.3955 0.8955 0.0000  1 Sb 2.84
Sb 0.8955 0.6045 0.0000  1 Sb 2.84
Sb 0.6045 0.1045 0.0000  1 Sb 2.84
Sb 0.1045 0.3955 0.0000  1 Sb 2.84
K 0.1687 0.6687 0.5000  6 Sb 3.65-3.94
K 0.6687 0.8313 0.5000  6 Sb 3.65-3.94
K 0.8313 0.3313 0.5000  6 Sb 3.65-3.94
K 0.3313 0.1687 0.5000  6 Sb 3.65-3.94



Stability order, top to bottom: two), one)



one) CsK2Sb2: optimized geometry, PBE.

- total magnetic moment (Bohr magnetons per cell) = 0.0
- theoretical density (Mg/m³) = 3.32

abc: 5.8885 5.8885 7.7657
angles: 67.72 67.72 90.00
With the nearest neighbours (Å) after each atom.
Atoms (fractional coordinates):
Cs 0.0000 0.0000 0.0000  8 Sb 4.41, 10 K 4.49-4.88
Sb 0.7500 0.2500 0.5000  4 K 3.35
Sb 0.2500 0.7500 0.5000  4 K 3.35
K 0.3721 0.3721 0.2559  4 Sb 3.35, 1 K 3.35
K 0.6279 0.6279 0.7441  4 Sb 3.35, 1 K 3.35



two) CsK2Sb2: optimized geometry, PBE.

- total magnetic moment (Bohr magnetons per cell) = 0.0
- theoretical density (Mg/m³) = 3.67

abc: 9.5827 9.5827 4.4830
angles: 90.00 90.00 90.00
With the nearest neighbours (Å) after each atom.
Atoms (fractional coordinates):
Cs 0.0000 0.0000 0.0000  4 K 3.55
Cs 0.5000 0.5000 0.0000  4 K 3.55
Sb 0.1058 0.6058 0.5000  1 Sb 2.87
Sb 0.6058 0.8942 0.5000  1 Sb 2.87
Sb 0.8942 0.3942 0.5000  1 Sb 2.87
Sb 0.3942 0.1058 0.5000  1 Sb 2.87
K 0.3276 0.8276 0.0000  6 Sb 3.54-3.75, 2 Cs 3.55
K 0.8276 0.6724 0.0000  6 Sb 3.54-3.75, 2 Cs 3.55
K 0.6724 0.1724 0.0000  6 Sb 3.54-3.75, 2 Cs 3.55
K 0.1724 0.3276 0.0000  6 Sb 3.54-3.75, 2 Cs 3.55



Stability order, top to bottom: two), one)



one) CsKSbTe2: optimized geometry, PBE.

- total magnetic moment (Bohr magnetons per cell) = 0.0
- theoretical density (Mg/m³) = 4.43

abc: 7.2970 7.2690 8.5756
angles: 115.08 90.00 90.00
With the nearest neighbours (Å) after each atom.
Atoms (fractional coordinates):
Cs 0.2420 0.7500 0.5000  8 Te 3.87-4.02, 2 Sb 4.27
Cs 0.7580 0.2500 0.5000  8 Te 3.87-4.02, 2 Sb 4.27
K 0.5000 0.7500 0.0000  4 Te 3.52, 2 K 3.63
K 0.5000 0.2500 0.0000  4 Te 3.52, 2 K 3.63
Sb 0.0000 0.0000 0.0000  2 Te 2.99
Sb 0.0000 0.5000 0.0000  2 Te 2.99
Te 0.7528 0.8465 0.6930  1 Sb 2.99, 1 Te 3.00
Te 0.7528 0.6535 0.3070  1 Sb 2.99, 1 Te 3.00
Te 0.2472 0.3465 0.6930  1 Sb 2.99, 1 Te 3.00
Te 0.2472 0.1535 0.3070  1 Sb 2.99, 1 Te 3.00



two) CsKSbTe2: optimized geometry, PBE.

- total magnetic moment (Bohr magnetons per cell) = 1.9
- theoretical density (Mg/m³) = 3.60

abc: 6.3587 6.3587 6.2709
angles: 90.00 90.00 90.00
With the nearest neighbours (Å) after each atom.
Atoms (fractional coordinates):
Cs 0.5000 0.5000 0.5000  8 Te 4.47, 4 Sb 4.50
Sb 0.0000 0.0000 0.5000  2 K 3.14
K 0.0000 0.0000 0.0000  2 Sb 3.14, 4 Te 3.18
Te 0.0000 0.5000 0.0000  2 K 3.18
Te 0.5000 0.0000 0.0000  2 K 3.18



Stability order, top to bottom: one), two)



one) CsKSb2Te: optimized geometry, PBE.

- total magnetic moment (Bohr magnetons per cell) = 0.0
- theoretical density (Mg/m³) = 3.86

abc: 6.1161 6.1161 6.2536
angles: 90.00 90.00 90.00
With the nearest neighbours (Å) after each atom.
Atoms (fractional coordinates):
Cs 0.5000 0.5000 0.5000  4 Te 4.32, 8 Sb 4.37
Sb 0.0000 0.5000 0.0000  2 K 3.06
Sb 0.5000 0.0000 0.0000  2 K 3.06
K 0.0000 0.0000 0.0000  4 Sb 3.06, 2 Te 3.13
Te 0.0000 0.0000 0.5000  2 K 3.13



two) CsKSb2Te: optimized geometry, PBE.

- total magnetic moment (Bohr magnetons per cell) = 1.1
- theoretical density (Mg/m³) = 3.29

abc: 6.4029 6.4029 6.6869
angles: 90.00 90.00 90.00
With the nearest neighbours (Å) after each atom.
Atoms (fractional coordinates):
Cs 0.0000 0.0000 0.0000  4 Sb 3.20, 2 Te 3.34
Sb 0.0000 0.5000 0.0000  2 Cs 3.20
Sb 0.5000 0.0000 0.0000  2 Cs 3.20
K 0.5000 0.5000 0.5000  4 Te 4.53, 8 Sb 4.63
Te 0.0000 0.0000 0.5000  2 Cs 3.34



Stability order, top to bottom: one), two)



one) CsKTl2Sb: optimized geometry, PBE.

- total magnetic moment (Bohr magnetons per cell) = 0.0
- theoretical density (Mg/m³) = 5.56

abc: 6.0705 4.9065 8.0495
angles: 107.74 112.15 90.00
With the nearest neighbours (Å) after each atom.
Atoms (fractional coordinates):
Cs 0.4480 0.4480 0.8960  6 Tl 4.10-4.15, 2 K 4.13, 4 Sb 4.25
K 0.2123 0.7123 0.4246  2 Sb 3.44, 2 Tl 3.47
Tl 0.6859 0.1859 0.3719  2 Sb 3.16
Tl 0.0381 0.0381 0.0762  1 Sb 2.96
Sb 0.8279 0.8279 0.6557  3 Tl 2.96-3.16



two) CsKTl2Sb: optimized geometry, PBE.

- total magnetic moment (Bohr magnetons per cell) = 0.0
- theoretical density (Mg/m³) = 4.08

abc: 6.5748 6.6134 6.5748
angles: 90.00 90.00 90.00
With the nearest neighbours (Å) after each atom.
Atoms (fractional coordinates):
Cs 0.0000 0.0000 0.0000  4 Tl 3.29, 2 Sb 3.31
Sb 0.0000 0.5000 0.0000  2 Cs 3.31
Tl 0.0000 0.0000 0.5000  2 Cs 3.29
Tl 0.5000 0.0000 0.0000  2 Cs 3.29
K 0.5000 0.5000 0.5000  4 Sb 4.65, 8 Tl 4.66



Stability order, top to bottom: one), two)



one) CsKSc2: optimized geometry, PBE.

- total magnetic moment (Bohr magnetons per cell) = 2.7
- theoretical density (Mg/m³) = 2.52

abc: 6.2536 6.2536 6.2536
angles: 60.00 60.00 60.00
With the nearest neighbours (Å) after each atom.
Atoms (fractional coordinates):
Cs 0.5000 0.5000 0.5000  8 Sc 3.83
Sc 0.2500 0.2500 0.2500  4 K 3.83, 4 Cs 3.83
Sc 0.7500 0.7500 0.7500  4 K 3.83, 4 Cs 3.83
K 0.0000 0.0000 0.0000  8 Sc 3.83



two) CsKSc2: optimized geometry, PBE.

- total magnetic moment (Bohr magnetons per cell) = 2.3
- theoretical density (Mg/m³) = 2.80

abc: 4.7018 4.7018 14.4578
angles: 80.64 80.64 90.00
With the nearest neighbours (Å) after each atom.
Atoms (fractional coordinates):
Cs 0.0000 0.0000 0.0000  4 K 3.32
Cs 0.7500 0.2500 0.5000  4 K 3.32
Sc 0.6218 0.1250 0.2500  4 Sc 3.30-3.35
Sc 0.1282 0.6250 0.2500  4 Sc 3.30-3.35
Sc 0.3750 0.3782 0.7500  4 Sc 3.30-3.35
Sc 0.8750 0.8718 0.7500  4 Sc 3.30-3.35
K 0.5000 0.5000 0.0000  4 Cs 3.32
K 0.2500 0.7500 0.5000  4 Cs 3.32



three) CsKSc2: optimized geometry, PBE.

- total magnetic moment (Bohr magnetons per cell) = 3.2
- theoretical density (Mg/m³) = 2.11

abc: 7.4202 7.4202 7.4202
angles: 47.96 47.96 47.96
With the nearest neighbours (Å) after each atom.
Atoms (fractional coordinates):
Cs 0.5000 0.5000 0.5000  6 Sc 3.51
Sc 0.8112 0.8112 0.8112  3 Cs 3.51, 3 Sc 3.59, 1 K 3.71
Sc 0.1888 0.1888 0.1888  3 Cs 3.51, 3 Sc 3.59, 1 K 3.71
K 0.0000 0.0000 0.0000  2 Sc 3.71



Stability order, top to bottom: two), three), one)



one) CsKSc3: optimized geometry, PBE.

- total magnetic moment (Bohr magnetons per cell) = 0.0
- theoretical density (Mg/m³) = 2.91

abc: 5.5950 5.5950 5.5950
angles: 90.00 90.00 90.00
With the nearest neighbours (Å) after each atom.
Atoms (fractional coordinates):
Cs 0.0000 0.0000 0.0000  6 Sc 2.80
Sc 0.0000 0.5000 0.0000  2 Cs 2.80
Sc 0.0000 0.0000 0.5000  2 Cs 2.80
Sc 0.5000 0.0000 0.0000  2 Cs 2.80
K 0.5000 0.5000 0.5000  12 Sc 3.96



two) CsKSc3: optimized geometry, PBE.

- total magnetic moment (Bohr magnetons per cell) = 0.0
- theoretical density (Mg/m³) = 2.66

abc: 5.7641 5.7641 5.7641
angles: 90.00 90.00 90.00
With the nearest neighbours (Å) after each atom.
Atoms (fractional coordinates):
Cs 0.5000 0.5000 0.5000  12 Sc 4.08
Sc 0.0000 0.5000 0.0000  2 K 2.88
Sc 0.0000 0.0000 0.5000  2 K 2.88
Sc 0.5000 0.0000 0.0000  2 K 2.88
K 0.0000 0.0000 0.0000  6 Sc 2.88



Stability order, top to bottom: one), two)



one) CsKSe2: optimized geometry, PBE.

- total magnetic moment (Bohr magnetons per cell) = 0.0
- theoretical density (Mg/m³) = 2.28

abc: 5.5829 6.6482 6.6482
angles: 102.89 90.00 90.00
With the nearest neighbours (Å) after each atom.
Atoms (fractional coordinates):
Cs 0.5000 0.4325 0.5675  4 Se 3.49-3.50
K 0.0000 0.8531 0.1469  4 Se 3.24
Se 0.5000 0.8940 0.3997  1 Se 2.43
Se 0.5000 0.6003 0.1060  1 Se 2.43



two) CsKSe2: optimized geometry, PBE.

- total magnetic moment (Bohr magnetons per cell) = 2.0
- theoretical density (Mg/m³) = 2.53

abc: 11.4162 11.4162 11.4162
angles: 24.01 24.01 24.01
With the nearest neighbours (Å) after each atom.
Atoms (fractional coordinates):
Cs 0.5000 0.5000 0.5000  6 Se 3.69
K 0.0000 0.0000 0.0000  2 Se 3.08
Se 0.9075 0.9075 0.9075  1 K 3.08
Se 0.0925 0.0925 0.0925  1 K 3.08



three) CsKSe2: optimized geometry, PBE.

- total magnetic moment (Bohr magnetons per cell) = 0.0
- theoretical density (Mg/m³) = 3.48

abc: 5.6336 5.6336 6.2553
angles: 102.17 108.44 114.50
With the nearest neighbours (Å) after each atom.
Atoms (fractional coordinates):
Cs 0.5000 0.2500 0.7500  8 Se 3.61-3.96, 2 K 3.74
K 0.5000 0.7500 0.2500  4 Se 3.28
Se 0.0130 0.0856 0.0986  1 Se 2.44
Se 0.9870 0.4144 0.4014  1 Se 2.44



four) CsKSe2: optimized geometry, PBE.

- total magnetic moment (Bohr magnetons per cell) = 0.0
- theoretical density (Mg/m³) = 3.26

abc: 5.5962 5.5962 11.4496
angles: 75.85 75.85 90.00
With the nearest neighbours (Å) after each atom.
Atoms (fractional coordinates):
Cs 0.0000 0.0000 0.0000  4 Se 3.89, 4 K 3.96
Cs 0.7500 0.2500 0.5000  4 Se 3.89, 4 K 3.96
K 0.5000 0.5000 0.0000  4 Se 3.05
K 0.2500 0.7500 0.5000  4 Se 3.05
Se 0.4379 0.1250 0.2500  2 Se 2.89, 2 K 3.05
Se 0.3121 0.6250 0.2500  2 Se 2.89, 2 K 3.05
Se 0.3750 0.5621 0.7500  2 Se 2.89, 2 K 3.05
Se 0.8750 0.6879 0.7500  2 Se 2.89, 2 K 3.05



Stability order, top to bottom: three), one), four), two)



one) CsK3Se: optimized geometry, PBE.

- total magnetic moment (Bohr magnetons per cell) = 0.0
- theoretical density (Mg/m³) = 1.40

abc: 7.3015 7.3015 7.3015
angles: 90.00 90.00 90.00
With the nearest neighbours (Å) after each atom.
Atoms (fractional coordinates):
Cs 0.0000 0.0000 0.0000  6 K 3.65
K 0.0000 0.5000 0.0000  2 Cs 3.65
K 0.0000 0.0000 0.5000  2 Cs 3.65
K 0.5000 0.0000 0.0000  2 Cs 3.65
Se 0.5000 0.5000 0.5000  12 K 5.16



two) CsK3Se: optimized geometry, PBE.

- total magnetic moment (Bohr magnetons per cell) = 0.0
- theoretical density (Mg/m³) = 1.87

abc: 6.6391 6.6391 6.6391
angles: 90.00 90.00 90.00
With the nearest neighbours (Å) after each atom.
Atoms (fractional coordinates):
Cs 0.5000 0.5000 0.5000  12 K 4.69
K 0.0000 0.5000 0.0000  2 Se 3.32
K 0.0000 0.0000 0.5000  2 Se 3.32
K 0.5000 0.0000 0.0000  2 Se 3.32
Se 0.0000 0.0000 0.0000  6 K 3.32



Stability order, top to bottom: two), one)



one) CsK2Sn2: optimized geometry, PBE.

- total magnetic moment (Bohr magnetons per cell) = 0.9
- theoretical density (Mg/m³) = 3.16

abc: 5.8298 5.8298 8.0687
angles: 68.82 68.82 90.00
With the nearest neighbours (Å) after each atom.
Atoms (fractional coordinates):
Cs 0.0000 0.0000 0.0000  8 K 4.46, 8 Sn 4.53
K 0.3764 0.3764 0.2472  4 Sn 3.40, 1 K 3.43
K 0.6236 0.6236 0.7528  4 Sn 3.40, 1 K 3.43
Sn 0.7500 0.2500 0.5000  4 K 3.40
Sn 0.2500 0.7500 0.5000  4 K 3.40



two) CsK2Sn2: optimized geometry, PBE.

- total magnetic moment (Bohr magnetons per cell) = 0.3
- theoretical density (Mg/m³) = 2.95

abc: 4.7348 7.2688 7.8163
angles: 100.03 107.63 90.00
With the nearest neighbours (Å) after each atom.
Atoms (fractional coordinates):
Cs 0.0000 0.0000 0.0000  6 Sn 4.04-4.30
K 0.3474 0.4270 0.6947  4 Sn 3.63-3.80, 2 K 4.03
K 0.6526 0.5730 0.3053  4 Sn 3.63-3.80, 2 K 4.03
Sn 0.7238 0.0964 0.4475  2 Sn 2.93
Sn 0.2762 0.9036 0.5525  2 Sn 2.93



three) CsK2Sn2: optimized geometry, PBE.

- total magnetic moment (Bohr magnetons per cell) = 0.0
- theoretical density (Mg/m³) = 3.02

abc: 6.0821 6.0821 7.9390
angles: 67.48 67.48 90.00
With the nearest neighbours (Å) after each atom.
Atoms (fractional coordinates):
Cs 0.0000 0.0000 0.0000  8 Sn 4.51, 8 K 4.51
K 0.7500 0.2500 0.5000  4 Sn 3.64
K 0.2500 0.7500 0.5000  4 Sn 3.64
Sn 0.3993 0.3993 0.2014  1 Sn 2.69
Sn 0.6007 0.6007 0.7986  1 Sn 2.69



four) CsK2Sn2: optimized geometry, PBE.

- total magnetic moment (Bohr magnetons per cell) = 0.0
- theoretical density (Mg/m³) = 3.40

abc: 10.1036 10.1036 4.2928
angles: 90.00 90.00 90.00
With the nearest neighbours (Å) after each atom.
Atoms (fractional coordinates):
Cs 0.0000 0.0000 0.0000  4 Sn 4.16, 8 K 4.26, 2 Cs 4.29
Cs 0.5000 0.5000 0.0000  4 Sn 4.16, 8 K 4.26, 2 Cs 4.29
K 0.1872 0.6872 0.5000  6 Sn 3.72
K 0.6872 0.8128 0.5000  6 Sn 3.72
K 0.8128 0.3128 0.5000  6 Sn 3.72
K 0.3128 0.1872 0.5000  6 Sn 3.72
Sn 0.3997 0.8997 0.0000  1 Sn 2.87
Sn 0.8997 0.6003 0.0000  1 Sn 2.87
Sn 0.6003 0.1003 0.0000  1 Sn 2.87
Sn 0.1003 0.3997 0.0000  1 Sn 2.87



Stability order, top to bottom: two), three), four), one)



one) Cs2KSn: optimized geometry, PBE.

- total magnetic moment (Bohr magnetons per cell) = 1.0
- theoretical density (Mg/m³) = 3.24

abc: 6.7460 6.7460 6.7460
angles: 60.00 60.00 60.00
With the nearest neighbours (Å) after each atom.
Atoms (fractional coordinates):
Cs 0.2500 0.2500 0.2500  4 Sn 4.13, 4 K 4.13
Cs 0.7500 0.7500 0.7500  4 Sn 4.13, 4 K 4.13
K 0.0000 0.0000 0.0000  8 Cs 4.13
Sn 0.5000 0.5000 0.5000  8 Cs 4.13



two) Cs2KSn: optimized geometry, PBE.

- total magnetic moment (Bohr magnetons per cell) = 0.0
- theoretical density (Mg/m³) = 3.10

abc: 5.7359 5.7359 14.3740
angles: 78.49 78.49 90.00
With the nearest neighbours (Å) after each atom.
Atoms (fractional coordinates):
Cs 0.6330 0.1250 0.2500  2 Sn 3.98, 4 Cs 3.99-4.12, 2 K 4.02
Cs 0.1170 0.6250 0.2500  2 Sn 3.98, 4 Cs 3.99-4.12, 2 K 4.02
Cs 0.3750 0.3670 0.7500  2 Sn 3.98, 4 Cs 3.99-4.12, 2 K 4.02
Cs 0.8750 0.8830 0.7500  2 Sn 3.98, 4 Cs 3.99-4.12, 2 K 4.02
K 0.5000 0.5000 0.0000  4 Cs 4.02, 4 Sn 4.06
K 0.2500 0.7500 0.5000  4 Cs 4.02, 4 Sn 4.06
Sn 0.0000 0.0000 0.0000  4 Cs 3.98, 4 K 4.06
Sn 0.7500 0.2500 0.5000  4 Cs 3.98, 4 K 4.06



Stability order, top to bottom: one), two)